1.
A relaxed LiTm2Os crystal, computed with PBE.

Output
Energy above the most stable polymorph in this dataset in meV/atom: 75
Space-group type: P4/mmm, No. 123
Formation enthalpy at 0 K in eV per atom: -0.217

a b c (Å): 3.3752 3.3752 8.0274
angles (deg): 90.00 90.00 90.00
Atoms (fractional coordinates):
1 Li 0.0000 0.0000 0.0000
2 Tm 0.5000 0.5000 0.2977
3 Tm 0.5000 0.5000 0.7023
4 Os 0.0000 0.0000 0.5000

2.
A relaxed BaAl2ZnPt crystal, computed with PBE.

Output
Space-group type: P4/mmm, No. 123
Formation enthalpy at 0 K in eV per atom: -0.468

a b c (Å): 4.8667 4.8667 5.0037
angles (deg): 90.00 90.00 90.00
Atoms (fractional coordinates):
1 Ba 0.0000 0.0000 0.0000
2 Al 0.0000 0.5000 0.5000
3 Al 0.5000 0.0000 0.5000
4 Zn 0.5000 0.5000 0.0000
5 Pt 0.5000 0.5000 0.5000

3.
A relaxed NdHo4Er8 crystal, computed with PBE.

Output
Space-group type: R-3m, No. 166
Formation enthalpy at 0 K in eV per atom: 0.207

a b c (Å): 9.8748 9.8748 9.8748
angles (deg): 43.02 43.02 43.02
Atoms (fractional coordinates):
1 Nd 0.0000 0.0000 0.0000
2 Ho 0.0000 0.0000 0.5000
3 Ho 0.0000 0.5000 0.0000
4 Ho 0.5000 0.0000 0.0000
5 Ho 0.5000 0.5000 0.5000
6 Er 0.2506 0.2506 0.6936
7 Er 0.2506 0.6936 0.2506
8 Er 0.2817 0.2817 0.2817
9 Er 0.3064 0.7494 0.7494
10 Er 0.6936 0.2506 0.2506
11 Er 0.7183 0.7183 0.7183
12 Er 0.7494 0.3064 0.7494
13 Er 0.7494 0.7494 0.3064

- Which value of formation enthalpy at 0 K does entry 3 give?
  0.207 eV per atom

- What is the formula in the first record?
  LiTm2Os